The following is a GGA-PBE calculation of an optimized crystal structure of SrScSi, from the Alexandria database.

Computed properties:
- VASP energy: -11.30 eV/cell
- Energy relative to the elements, uncorrected: 206 kJ/mol of formula units
- Mass density: 3.0 g/cm3

extended XYZ file:
```
3
Lattice="0.0000 3.5356 3.5356 3.5356 0.0000 3.5356 3.5356 3.5356 0.0000" Properties=species:S:1:pos:R:3 pbc="T T T"
Sr 0.0000 0.0000 0.0000
Sc 5.3034 5.3034 5.3034
Si 1.7678 1.7678 1.7678
```